Record 1
## TaTl2Ir (SCAN)

Data for TaTl2Ir at its PBEsol-relaxed geometry.

Summary:
The symmetry is P4/mmm (123). The value obtained for the energy of formation is 795 meV/atom. Its energy relative to the lowest polymorph listed for this composition is 68.9 kJ per mole of atoms.

Unit cell a=3.139 b=4.872 c=4.872 alpha=90.00 beta=90.00 gamma=90.00
Fractional positions:
Ir: 0.500 0.500 0.500
Ta: 0.500 0.000 0.000
Tl: 0.000 0.000 0.500
Tl: 0.000 0.500 0.000


Record 2
## TaTl2Ir (SCAN)

Data for TaTl2Ir at its PBEsol-relaxed geometry.

Summary:
The symmetry is Immm (71). The value obtained for the energy of formation is 534 meV/atom. Its energy relative to the lowest polymorph listed for this composition is 43.7 kJ per mole of atoms.

Unit cell a=3.034 b=5.148 c=5.726 alpha=116.70 beta=105.36 gamma=90.00
Fractional positions:
Ir: 0.500 0.000 0.000
Ta: 0.000 0.500 0.000
Tl: 0.237 0.237 0.475
Tl: 0.763 0.763 0.525